Crystalline PuMnBe4 at its relaxed geometry. Source: Alexandria via LeMat-Bulk, functional GGA-PBE.

**Energy**: -6.319 eV per atom
**Formation energy**: 0.082 eV per atom
**Space group**: F-43m (216)

Lattice parameters (Å, degrees): 4.6229 4.6229 4.6229 60.00 60.00 60.00
Closest atoms and distances in Å follow each position.
Fractional coordinates of all 6 atoms:
Pu  0.0000  0.0000  0.0000  12 Be 2.72, 4 Mn 2.83
Mn  0.7500  0.7500  0.7500  12 Be 2.71, 4 Pu 2.83
Be  0.3776  0.3776  0.3776  6 Be 2.26-2.36
Be  0.3776  0.3776  0.8673  6 Be 2.26-2.36
Be  0.3776  0.8673  0.3776  6 Be 2.26-2.36
Be  0.8673  0.3776  0.3776  6 Be 2.26-2.36

***

Crystalline Ce2TlCd at its relaxed geometry. Source: Alexandria via LeMat-Bulk, functional GGA-PBE.

**Energy**: -3.992 eV per atom
**Formation energy**: -0.205 eV per atom
**Space group**: P4/mmm (123)

Lattice parameters (Å, degrees): 4.7120 4.7120 4.8199 90.00 90.00 90.00
Closest atoms and distances in Å follow each position.
Fractional coordinates of all 4 atoms:
Ce  0.0000  0.5000  0.0000  4 Ce 3.33, 4 Cd 3.37, 4 Tl 3.37
Ce  0.5000  0.0000  0.0000  4 Ce 3.33, 4 Cd 3.37, 4 Tl 3.37
Tl  0.0000  0.0000  0.5000  4 Cd 3.33, 8 Ce 3.37
Cd  0.5000  0.5000  0.5000  4 Tl 3.33, 8 Ce 3.37

***

Crystalline PuSi3Ir5 at its relaxed geometry. Source: Alexandria via LeMat-Bulk, functional GGA-PBE.

**Energy**: -8.873 eV per atom
**Formation energy (no corrections)**: -550 meV/atom
**Space group**: Cmcm (63)

Lattice parameters (Å, degrees): 6.5100 6.5100 12.2992 90.00 90.00 144.96
Closest atoms and distances in Å follow each position.
Fractional coordinates of all 18 atoms:
Pu  0.1532  0.8468  0.7500  7 Si 3.24-3.45, 10 Ir 3.42-3.62
Pu  0.8468  0.1532  0.2500  7 Si 3.24-3.45, 10 Ir 3.42-3.62
Si  0.1250  0.8750  0.2500  6 Ir 2.39-2.50
Si  0.3859  0.6141  0.0437  5 Ir 2.28-2.48
Si  0.3859  0.6141  0.4563  5 Ir 2.28-2.48
Si  0.6141  0.3859  0.5437  5 Ir 2.28-2.48
Si  0.6141  0.3859  0.9563  5 Ir 2.28-2.48
Si  0.8750  0.1250  0.7500  6 Ir 2.39-2.50
Ir  0.0000  0.0000  0.0000  4 Si 2.48, 6 Ir 2.69-2.74
Ir  0.0000  0.0000  0.5000  4 Si 2.48, 6 Ir 2.69-2.74
Ir  0.2044  0.7956  0.0728  2 Si 2.28-2.39
Ir  0.2044  0.7956  0.4272  2 Si 2.28-2.39
Ir  0.4460  0.5540  0.6459  4 Si 2.44-2.50, 1 Ir 2.56
Ir  0.4460  0.5540  0.8541  4 Si 2.44-2.50, 1 Ir 2.56
Ir  0.5540  0.4460  0.1459  4 Si 2.44-2.50, 1 Ir 2.56
Ir  0.5540  0.4460  0.3541  4 Si 2.44-2.50, 1 Ir 2.56
Ir  0.7956  0.2044  0.5728  2 Si 2.28-2.39
Ir  0.7956  0.2044  0.9272  2 Si 2.28-2.39